Entry 1:
A plane-wave DFT calculation with GGA-PBE was carried out for crystalline Cr2InAg at its relaxed geometry.

It has space group R-3m (No. 166, hexagonal axes), with a = 3.0778 Å, b = 3.0778 Å, c = 27.1843 Å, α = 90.00°, β = 90.00° and γ = 120.00°. The distinct sites, in fractional coordinates, are Cr at (0.0000, 0.0000, 0.2489), In at (0.0000, 0.0000, 0.0000) and Ag at (0.0000, 0.0000, 0.5000).



Entry 2:
A plane-wave DFT calculation with GGA-PBE was carried out for crystalline Ga2CuAg4 at its relaxed geometry.

It has space group Cmmm (No. 65), with a = 7.443 Å, b = 7.700 Å, c = 4.305 Å, α = 90.00°, β = 90.00° and γ = 90.00°. The distinct sites, in fractional coordinates, are Ga at (0.000, 0.194, 0.000), Cu at (0.000, 0.000, 0.500), Ag at (0.190, 0.500, 0.000) and Ag at (0.250, 0.250, 0.500).



Entry 3:
A plane-wave DFT calculation with GGA-PBE was carried out for crystalline Li8Ag2H at its relaxed geometry.

It has space group C2/m (No. 12), with a = 19.508 Å, b = 3.051 Å, c = 6.018 Å, α = 90.00°, β = 97.64° and γ = 90.00°. The distinct sites, in fractional coordinates, are Li at (0.002, 0.000, 0.236), Li at (0.103, 0.500, 0.043), Li at (0.111, 0.500, 0.559), Li at (0.208, 0.000, 0.328), Ag at (0.196, 0.000, 0.856) and H at (0.000, 0.500, 0.000).



Entry 4:
A plane-wave DFT calculation with GGA-PBE was carried out for crystalline PmMg4 at its relaxed geometry.

The energy above the most stable polymorph in this dataset comes out at 0 meV/atom.

It has space group C2/m (No. 12), with a = 15.352 Å, b = 3.432 Å, c = 5.176 Å, α = 90.00°, β = 109.62° and γ = 90.00°. The distinct sites, in fractional coordinates, are Pm at (0.000, 0.000, 0.000), Mg at (0.103, 0.500, 0.602) and Mg at (0.214, 0.500, 0.215).



Entry 5:
A plane-wave DFT calculation with GGA-PBE was carried out for crystalline SrLiIn2Ag2 at its relaxed geometry.

It has space group P-3m1 (No. 164), with a = 4.8619 Å, b = 4.8619 Å, c = 7.2013 Å, α = 90.00°, β = 90.00° and γ = 120.00°. The distinct sites, in fractional coordinates, are Sr at (0.0000, 0.0000, 0.0000), Li at (0.0000, 0.0000, 0.5000), In at (0.3333, 0.6667, 0.6905) and Ag at (0.3333, 0.6667, 0.2904).



Entry 6:
A plane-wave DFT calculation with GGA-PBE was carried out for crystalline Cd2Cu at its relaxed geometry.

It has space group P4/nmm (No. 129, origin choice 2), with a = 4.104 Å, b = 4.104 Å, c = 7.054 Å, α = 90.00°, β = 90.00° and γ = 90.00°. The distinct sites, in fractional coordinates, are Cd at (0.250, 0.250, 0.141), Cd at (0.250, 0.750, 0.500) and Cu at (0.250, 0.250, 0.767).



Record order is preserved below.
Ρ: 7.30; 8.54; 2.55; 3.13; 6.08; 8.06 Mg/m³
Record order is preserved below.
Total energy: -5.58; -3.05; -2.34; -2.28; -2.76; -1.83 eV/atom